1.
MgCrHg4 | Alexandria | SCAN | PBEsol geometry; E_form = 1.475 eV per formula unit; total magnetic moment = 4.32 μB/f.u.; electronic total energy = -294.5 eV/cell
1.0
-5.123 -1.626 -1.881
-3.515 -2.874 3.436
-4.700 2.509 2.010
Hg Mg Cr
4 1 1
direct
0.876 0.375 0.375 Hg
0.375 0.375 0.876 Hg
0.375 0.375 0.375 Hg
0.375 0.876 0.375 Hg
0.750 0.750 0.750 Mg
0.000 0.000 0.000 Cr

---

2.
MgCr2Hg | Alexandria | SCAN | PBEsol geometry; E_form = 2.516 eV per formula unit; total magnetic moment = 0.92 μB/f.u.; electronic total energy = -107.4 eV/cell; distance to the lowest polymorph of the same formula = 455 meV/atom
1.0
-0.454 0.696 2.535
1.149 -4.269 2.641
4.803 -0.761 1.701
Cr Hg Mg
2 1 1
direct
0.000 0.500 0.500 Cr
0.000 0.000 0.500 Cr
0.500 0.000 0.000 Hg
0.500 0.500 0.000 Mg

---

3.
Mn2CrHg | Alexandria | SCAN | PBEsol geometry; E_form = 1.059 eV per formula unit; total magnetic moment = 3.80 μB/f.u.; electronic total energy = -122.0 eV/cell
1.0
2.832 0.000 0.000
1.416 2.453 0.000
1.416 0.818 8.093
Mn Hg Cr
2 1 1
direct
0.755 0.755 0.735 Mn
0.011 0.011 0.966 Mn
0.249 0.249 0.252 Hg
0.484 0.484 0.547 Cr

---

4.
MnCrHg2 | Alexandria | SCAN | PBEsol geometry; E_form = 0.800 eV per formula unit; total magnetic moment = 8.93 μB/f.u.; electronic total energy = -172.2 eV/cell
1.0
-4.481 0.721 -1.050
-3.336 -2.221 2.376
-2.731 2.363 2.943
Mn Hg Cr
1 2 1
direct
0.250 0.250 0.250 Mn
0.750 0.750 0.750 Hg
0.000 0.000 0.000 Hg
0.500 0.500 0.500 Cr

---

5.
MnCrHg3 | Alexandria | SCAN | PBEsol geometry; E_form = 2.828 eV per formula unit; total magnetic moment = 9.43 μB/f.u.; electronic total energy = -238.3 eV/cell; distance to the lowest polymorph of the same formula = 0 meV/atom
1.0
5.089 0.000 0.000
0.000 5.089 0.000
0.000 0.000 5.089
Mn Hg Cr
1 3 1
direct
0.500 0.500 0.500 Mn
0.000 0.500 0.000 Hg
0.000 0.000 0.500 Hg
0.500 0.000 0.000 Hg
0.000 0.000 0.000 Cr

---

6.
Mn2CrHg | Alexandria | SCAN | PBEsol geometry; E_form = 0.608 eV per formula unit; total magnetic moment = 4.32 μB/f.u.; electronic total energy = -122.5 eV/cell
1.0
2.858 0.000 0.000
1.429 2.475 0.000
1.429 0.825 8.116
Mn Hg Cr
2 1 1
direct
0.762 0.762 0.713 Mn
0.238 0.238 0.287 Mn
0.000 0.000 0.000 Hg
0.500 0.500 0.500 Cr

---

no.,D(E_F) (states/eV/atom)
1,0.274
2,0.640
3,0.510
4,0.210
5,0.471
6,0.481